Entry 1:
CdHg5Br12 (PBE-GGA, optimized geometry); Fermi-level density of states = 0.0 states/eV/cell; formation energy (no corrections) = -0.483 eV/atom; uncorrected energy = -1.73 eV per atom; total magnetic moment = 0.0 μB/cell; mass density = 5.6 g/cm³
1.0
-4.3530 -5.7424 -0.8780
1.0284 -5.9377 3.7269
-8.2911 4.8792 9.9705
Cd Hg Br
1 5 12
direct
0.0000 0.0000 0.0000 Cd
0.5000 0.0000 0.5000 Hg
0.1667 0.6666 0.5000 Hg
0.8333 0.3335 0.5000 Hg
0.6683 0.6635 0.0000 Hg
0.3317 0.3365 0.0000 Hg
0.8444 0.0000 0.3843 Br
0.1556 0.0000 0.6157 Br
0.6643 0.0000 0.8877 Br
0.3357 0.0000 0.1123 Br
0.3190 0.6702 0.8848 Br
0.0107 0.6702 0.1152 Br
0.9893 0.3298 0.8848 Br
0.6810 0.3298 0.1152 Br
0.4891 0.3333 0.6157 Br
0.8224 0.6667 0.6157 Br
0.1776 0.3333 0.3843 Br
0.5109 0.6667 0.3843 Br


Entry 2:
TlIn2P (PBE-GGA, optimized geometry); formation energy from the elements = 0.26 eV per atom; Fermi-level density of states = 1.8 states/eV/cell; excess energy over the best structure of this formula in the dataset = 0.269 eV per atom; uncorrected energy = -3.05 eV per atom; total magnetic moment = 0.0 μB/cell; mass density = 7.7 g/cm³
1.0
0.0000 3.6904 3.6904
3.6904 0.0000 3.6904
3.6904 3.6904 0.0000
P Tl In
1 1 2
direct
0.0000 0.0000 0.0000 P
0.5000 0.5000 0.5000 Tl
0.2500 0.2500 0.2500 In
0.7500 0.7500 0.7500 In


Entry 3:
SrLi2Au (PBE-GGA, optimized geometry); formation energy from the elements = -0.33 eV per atom; Fermi-level density of states = 1.9 states/eV/cell; excess energy over the best structure of this formula in the dataset = 0.092 eV per atom; uncorrected energy = -2.53 eV per atom; total magnetic moment = 0.0 μB/cell; mass density = 5.0 g/cm³
1.0
-0.6866 1.3883 -5.8478
-4.8677 -2.3237 -2.7387
1.8155 3.5045 4.5845
Sr Au Li
1 1 2
direct
0.2500 0.7500 0.5000 Sr
0.7500 0.2500 0.5000 Au
0.9522 0.9522 0.0000 Li
0.5478 0.5478 0.0000 Li


Entry 4:
Ac5La8Pm (PBE-GGA, optimized geometry); formation energy from the elements = 0.22 eV per atom; Fermi-level density of states = 22.8 states/eV/cell; uncorrected energy = -4.40 eV per atom; total magnetic moment = 0.0 μB/cell; mass density = 7.0 g/cm³
1.0
8.5786 0.0000 -2.7805
-4.3603 7.2518 -3.1181
0.1420 0.0000 9.0168
Ac La Pm
5 8 1
direct
0.0274 0.3184 0.1278 Ac
0.8722 0.8996 0.1905 Ac
0.8095 0.6816 0.7090 Ac
0.5000 0.0000 0.5000 Ac
0.2910 0.1004 0.9726 Ac
0.1745 0.7285 0.0588 La
0.9412 0.1157 0.6698 La
0.7356 0.2631 0.3346 La
0.6654 0.4010 0.9285 La
0.5275 0.5990 0.2644 La
0.5541 0.8843 0.8255 La
0.3302 0.2715 0.4459 La
0.0715 0.7369 0.4725 La
0.2500 0.5000 0.7500 Pm


Entry 5:
InPtRh2 (PBE-GGA, optimized geometry); formation energy from the elements = 0.03 eV per atom; Fermi-level density of states = 4.9 states/eV/cell; uncorrected energy = -5.84 eV per atom; total magnetic moment = 1.2 μB/cell; mass density = 13.2 g/cm³
1.0
8.8954 -1.4528 0.0035
8.8954 1.4528 0.0035
8.6571 0.0000 2.5085
In Pt Rh
1 1 2
direct
0.4983 0.4983 0.4983 In
0.2512 0.2512 0.2512 Pt
0.0019 0.0019 0.0019 Rh
0.7485 0.7485 0.7485 Rh


Entry 6:
Tb4NdGd (PBE-GGA, optimized geometry); formation energy from the elements = 0.25 eV per atom; Fermi-level density of states = 12.8 states/eV/cell; uncorrected energy = -5.98 eV per atom; total magnetic moment = 8.4 μB/cell; mass density = 7.6 g/cm³
1.0
6.6303 0.0000 0.0000
3.3151 5.7420 0.0000
3.3151 1.9140 5.4136
Nd Gd Tb
1 1 4
direct
0.0000 0.0000 0.0000 Nd
0.2500 0.2500 0.2500 Gd
0.6253 0.6253 0.1241 Tb
0.6253 0.1241 0.6253 Tb
0.6253 0.6253 0.6253 Tb
0.1241 0.6253 0.6253 Tb


Entry 7:
HfZrSc2 (PBE-GGA, optimized geometry); formation energy from the elements = 0.03 eV per atom; Fermi-level density of states = 5.1 states/eV/cell; excess energy over the best structure of this formula in the dataset = 0.010 eV per atom; uncorrected energy = -7.76 eV per atom; total magnetic moment = 0.0 μB/cell; mass density = 6.4 g/cm³
1.0
3.2163 0.0000 0.0000
0.0000 4.5056 0.0000
0.0000 0.0000 6.4654
Hf Zr Sc
1 1 2
direct
0.0000 0.0000 0.5095 Hf
0.5000 0.5000 0.7377 Zr
0.0000 0.0000 0.9922 Sc
0.5000 0.5000 0.2606 Sc


Entry 8:
Li3Tb12Y5 (PBE-GGA, optimized geometry); formation energy from the elements = 1.00 eV per atom; Fermi-level density of states = 118.2 states/eV/cell; uncorrected energy = -3.68 eV per atom; total magnetic moment = 0.0 μB/cell; mass density = 5.2 g/cm³
1.0
-15.0077 -4.2880 -2.6238
9.0574 -4.8636 -12.0338
5.1003 -6.6064 13.4478
Li Y Tb
12 20 48
direct
0.7500 0.3750 0.1250 Li
0.8750 0.7500 0.1250 Li
0.3750 0.7500 0.6250 Li
0.2500 0.1250 0.3750 Li
0.8750 0.1250 0.2500 Li
0.3750 0.6250 0.2500 Li
0.6250 0.3750 0.7500 Li
0.1250 0.8750 0.7500 Li
0.7500 0.8750 0.6250 Li
0.6250 0.2500 0.3750 Li
0.1250 0.2500 0.8750 Li
0.2500 0.6250 0.8750 Li
0.1250 0.3750 0.2500 Y
0.0000 0.5000 0.0000 Y
0.0000 0.0000 0.0000 Y
0.3750 0.2500 0.1250 Y
0.5000 0.0000 0.5000 Y
0.5000 0.5000 0.0000 Y
0.1250 0.7500 0.3750 Y
0.7500 0.1250 0.8750 Y
0.7500 0.6250 0.3750 Y
0.3750 0.1250 0.7500 Y
0.6250 0.8750 0.2500 Y
0.5000 0.5000 0.5000 Y
0.5000 0.0000 0.0000 Y
0.0000 0.0000 0.5000 Y
0.2500 0.3750 0.6250 Y
0.2500 0.8750 0.1250 Y
0.0000 0.5000 0.5000 Y
0.8750 0.2500 0.6250 Y
0.6250 0.7500 0.8750 Y
0.8750 0.6250 0.7500 Y
0.7365 0.1363 0.0847 Tb
0.3482 0.5847 0.4484 Tb
0.9153 0.3637 0.2635 Tb
0.5847 0.2365 0.1363 Tb
0.6001 0.7365 0.6518 Tb
0.9153 0.5516 0.1518 Tb
0.3482 0.7635 0.3999 Tb
0.0516 0.8999 0.1363 Tb
0.5516 0.9153 0.6518 Tb
0.7365 0.6001 0.1518 Tb
0.7635 0.4153 0.3637 Tb
0.8482 0.9484 0.0847 Tb
0.1363 0.7365 0.5847 Tb
0.3637 0.4484 0.1001 Tb
0.1001 0.9484 0.3637 Tb
0.3999 0.1363 0.5516 Tb
0.1001 0.1518 0.2365 Tb
0.4153 0.6518 0.0516 Tb
0.8482 0.8999 0.2635 Tb
0.1363 0.3999 0.0516 Tb
0.3637 0.9153 0.7635 Tb
0.5516 0.6363 0.3999 Tb
0.9484 0.8482 0.5847 Tb
0.7635 0.3482 0.8999 Tb
0.4484 0.3637 0.6001 Tb
0.0516 0.1518 0.4153 Tb
0.2365 0.6518 0.1001 Tb
0.1518 0.1001 0.7365 Tb
0.6363 0.0847 0.2365 Tb
0.8637 0.6001 0.9484 Tb
0.5847 0.3482 0.9484 Tb
0.6001 0.8637 0.4484 Tb
0.8999 0.8482 0.7635 Tb
0.8999 0.0516 0.6363 Tb
0.8637 0.2635 0.4153 Tb
0.1518 0.0516 0.9153 Tb
0.6363 0.5516 0.8999 Tb
0.4484 0.0847 0.3482 Tb
0.2635 0.3999 0.8482 Tb
0.2365 0.5847 0.6363 Tb
0.9484 0.1001 0.8637 Tb
0.6518 0.2365 0.6001 Tb
0.4153 0.7635 0.8637 Tb
0.0847 0.4484 0.8482 Tb
0.3999 0.2635 0.3482 Tb
0.0847 0.6363 0.7365 Tb
0.6518 0.4153 0.5516 Tb
0.2635 0.8637 0.9153 Tb